Here is crystalline Tm4Sc4In at its relaxed geometry from the Alexandria database. Energies are from GGA-PBE.

Calculated values
DOS at the Fermi energy ... 15.15 states/eV per cell
Total moment ... 0.0 Bohr magnetons per cell
ΔE_f ... -0.063 eV/atom

Cell: 4.7193 7.4914 7.4914 Å, 84.31 71.64 71.64°
Fractional coordinates of all 9 atoms:
1 Sc 0.0000 0.6594 0.3406
2 Sc 0.6594 0.3406 0.3406
3 Sc 0.3406 0.6594 0.6594
4 Tm 0.3360 0.3280 0.0000
5 Tm 0.6640 0.6720 0.0000
6 Tm 0.3360 0.0000 0.3280
7 In 0.0000 0.0000 0.0000
8 Sc 0.0000 0.3406 0.6594
9 Tm 0.6640 0.0000 0.6720